Ca2PuVO6: optimized geometry, PBE with a Hubbard U.

```
20
Lattice="-3.119 4.574 0.597 -2.976 -1.406 -4.782 -5.230 -4.098 4.461" Properties=species:S:1:pos:R:3 pbc="T T T"
O -1.497 0.458 -0.557
O -7.797 0.275 -0.853
Pu -1.488 -0.703 -2.391
O -3.336 0.173 -2.921
Ca -4.159 -2.282 -3.407
O -3.529 -1.206 1.128
O -5.759 2.266 -0.893
O -8.059 -2.659 -0.962
V -4.103 -2.752 -0.160
O -5.567 -3.197 1.169
O -6.016 0.533 1.418
O -7.990 -1.103 3.197
O -5.310 -1.464 -1.142
O -9.829 -1.389 0.833
Ca -7.167 1.352 3.683
V -1.560 2.287 0.298
Pu -4.175 0.238 2.529
Ca -7.167 -1.493 0.995
Ca -4.159 0.563 -0.720
O -3.266 1.728 1.238
```

Raw total energy (eV per atom): -8.30
Magnetic moment (μB per atom): 0.5000
Volume (Å³/f.u.): 129
Calculated density (Mg/m³): 6.0